Computed, not measured: a geometry-optimized CaDy2Au structure at the PBE level of DFT.

a = 3.619 Å, b = 3.619 Å, c = 9.323 Å
α = 90.00°, β = 90.00°, γ = 90.00°
Atoms (fractional coordinates):
Au1 0.500 0.500 0.000
Dy1 0.000 0.000 0.184
Dy2 0.000 0.000 0.816
Ca1 0.500 0.500 0.500

DFT total energy = -15.88 eV for the cell shown